Entry 1:
4
Lattice="-1.865 1.865 4.446 1.865 -1.865 4.446 1.865 1.865 -4.446" Properties=species:S:1:pos:R:3 comment="CdNiMo2, optimized geometry, DFT PBE" dos_ef_per_ev_atom=0.801 delta_e_f_mev_per_atom=300 total_magnetization_mub_per_fu=0.00 dft_energy_ev_per_atom=-6.79 pbc="T T T"
Cd 0.000 0.000 0.000
Ni 0.000 0.000 4.446
Mo 1.865 0.000 2.223
Mo 0.000 1.865 2.223

***

Entry 2:
3
Lattice="0.000 3.657 3.657 3.657 0.000 3.657 3.657 3.657 0.000" Properties=species:S:1:pos:R:3 comment="SmErCd, optimized geometry, DFT PBE" dos_ef_per_ev_atom=1.595 delta_e_f_mev_per_atom=97 total_magnetization_mub_per_fu=0.02 dft_energy_ev_per_atom=-3.30 pbc="T T T"
Sm 0.000 0.000 0.000
Er 3.657 3.657 3.657
Cd 1.828 1.828 1.828

***

Entry 3:
10
Lattice="3.475 -15.143 0.000 3.475 15.143 0.000 0.000 0.000 3.631" Properties=species:S:1:pos:R:3 comment="Ac2La7Ho, optimized geometry, DFT PBE" dos_ef_per_ev_atom=1.632 delta_e_f_mev_per_atom=130 total_magnetization_mub_per_fu=0.00 dft_energy_ev_per_atom=-4.60 pbc="T T T"
Ac 3.475 8.912 0.000
Ac 3.475 -8.912 0.000
La 0.000 0.000 0.000
La 1.822 2.898 0.000
La 3.475 5.588 1.815
La 1.822 -2.898 0.000
La 5.128 2.898 0.000
La 3.475 -5.588 1.815
La 5.128 -2.898 0.000
Ho 3.475 0.000 1.815

***

Entry 4:
15
Lattice="5.559 -5.572 0.000 5.559 5.572 0.000 -5.536 0.000 5.569" Properties=species:S:1:pos:R:3 comment="Sm4Pa3S8, optimized geometry, DFT PBE" dos_ef_per_ev_atom=0.851 total_magnetization_mub_per_fu=0.61 dft_energy_ev_per_atom=-7.21 pbc="T T T"
Sm 0.000 0.000 0.000
Sm 2.779 2.786 0.000
Sm 2.779 -2.786 0.000
Sm 2.791 0.000 2.784
Pa 0.011 2.786 2.784
Pa 0.011 -2.786 2.784
Pa 5.559 0.000 0.000
S 2.791 2.832 2.784
S -0.047 0.000 2.807
S -2.707 0.000 5.515
S 5.559 2.771 0.000
S 5.559 -2.771 0.000
S 8.289 0.000 0.054
S 5.628 0.000 2.762
S 2.791 -2.832 2.784